Record 1
Below is a relaxed structure of SrAl3Zn, with properties calculated at the PBE level.

POSCAR file:
```
SrAl3Zn
1.0
-4.110 -0.995 0.836
1.273 -2.547 3.237
-1.756 2.667 5.663
Zn Sr Al
1 1 3
Cartesian
-0.206 -0.299 6.485 Zn
-2.973 1.475 6.101 Sr
-2.710 -1.974 3.282 Al
-0.750 -0.218 3.893 Al
-2.171 -1.988 5.929 Al
```

- Size of the total moment: 0.00 μB/f.u.
- Raw total energy: -15.57 eV per cell
- DFT formation energy: -0.278 eV per atom

Record 2
Below is a relaxed structure of ReMoOs, with properties calculated at the PBE level.

POSCAR file:
```
ReMoOs
1.0
4.390 0.000 0.000
-2.195 3.802 0.000
0.000 0.000 2.736
Os Re Mo
1 1 1
Cartesian
2.195 1.267 0.912 Os
0.000 2.535 2.280 Re
0.000 0.000 2.280 Mo
```

- Size of the total moment: 0.00 μB/f.u.
- Raw total energy: -33.78 eV per cell
- DFT formation energy: 0.241 eV per atom

Record 3
Below is a relaxed structure of ScGa4Ag, with properties calculated at the PBE level.

POSCAR file:
```
ScGa4Ag
1.0
4.228 0.000 0.000
-2.114 4.988 1.418
0.000 0.638 10.418
Ga Ag Sc
8 2 2
Cartesian
1.057 4.883 6.045 Ga
-1.057 5.202 11.254 Ga
3.170 2.194 2.762 Ga
1.057 0.742 5.791 Ga
1.056 3.113 3.865 Ga
-1.056 3.432 9.074 Ga
3.171 0.423 0.582 Ga
1.058 2.512 7.971 Ga
-1.057 2.813 5.918 Ag
1.057 2.494 0.709 Ag
1.056 0.159 2.605 Sc
3.172 0.478 7.814 Sc
```

- Size of the total moment: 0.00 μB/f.u.
- Raw total energy: -45.78 eV per cell
- DFT formation energy: -0.267 eV per atom

Record 4
Below is a relaxed structure of Y4ReSi, with properties calculated at the PBE level.

POSCAR file:
```
Y4ReSi
1.0
0.000 4.183 4.183
4.183 0.000 4.183
4.183 4.183 0.000
Y Si Re
4 1 1
Cartesian
3.150 5.216 5.216 Y
3.150 3.150 3.150 Y
5.216 3.150 5.216 Y
5.216 5.216 3.150 Y
0.000 0.000 0.000 Si
6.274 6.274 6.274 Re
```

- Size of the total moment: 0.00 μB/f.u.
- Raw total energy: -37.99 eV per cell
- Formation energy without anion corrections: 0.956 eV/atom